A plane-wave DFT calculation with PBE was carried out for crystalline Sr2PbSe at its relaxed geometry.

The value obtained for the density of states at the Fermi level is 3.3 states/eV per cell. The value obtained for the uncorrected formation energy is -0.96 eV/atom. As for the crystal system: monoclinic. The value obtained for the volume is 253.9 Å³/cell.

Lattice parameters (Å, degrees): 7.489 8.658 3.915 90.00 90.11 90.00
Space group C2/m (No. 12)
Asymmetric unit:
Sr: 0.250 0.250 0.000 x4
Pb: 0.000 0.000 0.500 x2
Se: 0.000 0.500 0.500 x2